VASP calculation (PBE) on an optimized crystal structure of LiPu2MnN4.

Properties
* symmetry: Cmcm
* formation energy (no corrections): -0.78 eV/atom

Lattice parameters (Å, degrees): 3.4336 6.3615 11.3925 90.00 90.00 105.66
Site moments in Bohr magnetons follow the coordinates.
Atoms (fractional coordinates):
1 Li 0.0216 0.0431 0.7500  0.02
2 Li 0.9784 0.9569 0.2500  0.02
3 Pu 0.3709 0.7418 0.5421  4.42
4 Pu 0.6291 0.2582 0.0421  4.42
5 Pu 0.6291 0.2582 0.4579  4.42
6 Pu 0.3709 0.7418 0.9579  4.42
7 Mn 0.8118 0.6235 0.7500  2.57
8 Mn 0.1882 0.3765 0.2500  2.57
9 N 0.2427 0.4854 0.1002  -0.17
10 N 0.7573 0.5146 0.6002  -0.17
11 N 0.7573 0.5146 0.8998  -0.17
12 N 0.2427 0.4854 0.3998  -0.17
13 N 0.0000 0.0000 0.5000  -0.24
14 N 0.0000 0.0000 0.0000  -0.24
15 N 0.3938 0.7875 0.7500  -0.11
16 N 0.6062 0.2125 0.2500  -0.11